## HfPaMn2O8 (PBE with a Hubbard U)

Data for crystalline HfPaMn2O8 at its relaxed geometry.

The structure belongs to space group I-4m2 (No. 119); the cell edges are 6.826, 6.826 and 6.684 Å and the angles 90.00°, 90.00° and 90.00°. The distinct sites, in fractional coordinates, are Hf at (0.000, 0.000, 0.000), Pa at (0.000, 0.500, 0.750), Mn at (0.000, 0.000, 0.500), Mn at (0.000, 0.500, 0.250), O at (0.000, 0.182, 0.720) and O at (0.000, 0.314, 0.059).

The calculation puts the volume at 311.4 Å³ per cell. The uncorrected energy is -8.583 eV/atom.